1.
DFT (PBE) results for a relaxed structure of AgAsS2.

a b c (Å): 5.6950 5.6950 12.2461
angles (deg): 90.00 90.00 90.00
Closest atoms and distances in Å follow each position.
Space group I-42d (No. 122)
Symmetry-distinct sites (fractional):
Ag (0.0000, 0.0000, 0.0000) [4 per cell]  4 S 2.58
As (0.0000, 0.0000, 0.5000) [4 per cell]  4 S 2.48
S (0.2339, 0.2500, 0.6250) [8 per cell]  2 As 2.48, 2 Ag 2.58

Theoretical density (g cm⁻³): 4.13
Raw total energy (eV per atom): -3.89
ΔE_f (raw) (eV per formula unit): 0.21
DOS(E_F) (states/eV/f.u.): 0.0

---

2.
DFT (PBE) results for a relaxed structure of AgAsS2.

a b c (Å): 5.2223 4.3901 7.7002
angles (deg): 90.00 90.21 90.00
Closest atoms and distances in Å follow each position.
Space group P2_1 (No. 4)
Symmetry-distinct sites (fractional):
Ag (0.1489, 0.0000, 0.1100) [2 per cell]  3 S 2.55-2.70
As (0.2795, 0.0199, 0.6198) [2 per cell]  3 S 2.25-2.38
S (0.2858, 0.6607, 0.3883) [2 per cell]  2 As 2.35-2.38
S (0.3075, 0.7011, 0.8484) [2 per cell]  1 As 2.25

Theoretical density (g cm⁻³): 4.65
Raw total energy (eV per atom): -4.03
ΔE_f (raw) (eV per formula unit): -0.36

---

3.
DFT (PBE) results for a relaxed structure of Ag5AsS6.

a b c (Å): 6.6833 11.1584 6.5524
angles (deg): 90.00 111.39 90.00
Closest atoms and distances in Å follow each position.
Space group C2/m (No. 12)
Symmetry-distinct sites (fractional):
Ag (0.0000, 0.0000, 0.0000) [2 per cell]  6 S 2.65-2.94
Ag (0.0000, 0.1729, 0.5000) [4 per cell]  4 S 2.56-2.59
Ag (0.0000, 0.3426, 0.0000) [4 per cell]  4 S 2.51-2.71
As (0.0000, 0.5000, 0.5000) [2 per cell]  6 S 2.51-2.54
S (0.2176, 0.3414, 0.7588) [8 per cell]  3 Ag 2.51-2.65, 1 As 2.51
S (0.2418, 0.0000, 0.7051) [4 per cell]  1 As 2.54, 4 Ag 2.56-2.71

Theoretical density (g cm⁻³): 5.89
Raw total energy (eV per atom): -3.61
ΔE_f (raw) (eV per formula unit): 0.38
DOS(E_F) (states/eV/f.u.): 5.7

---

4.
DFT (PBE) results for a relaxed structure of AgAsS2.

a b c (Å): 12.7292 4.5664 12.8362
angles (deg): 90.00 94.69 90.00
Closest atoms and distances in Å follow each position.
Space group C2/c (No. 15)
Symmetry-distinct sites (fractional):
Ag (0.0000, 0.0000, 0.0000) [4 per cell]  2 S 2.41
Ag (0.0000, 0.4334, 0.2500) [4 per cell]  4 S 2.58-2.63
As (0.2347, 0.0522, 0.8620) [8 per cell]  3 S 2.27-2.36
S (0.1049, 0.3477, 0.9124) [8 per cell]  1 As 2.27, 1 Ag 2.41
S (0.1532, 0.0889, 0.1981) [8 per cell]  2 As 2.34-2.36

Theoretical density (g cm⁻³): 4.41
Raw total energy (eV per atom): -4.06
ΔE_f (raw) (eV per formula unit): -0.47
DOS(E_F) (states/eV/f.u.): 0.0

---

5.
DFT (PBE) results for a relaxed structure of Ag3AsS.

a b c (Å): 4.8233 4.8233 4.8233
angles (deg): 90.00 90.00 90.00
Closest atoms and distances in Å follow each position.
Space group Pm-3m (No. 221)
Symmetry-distinct sites (fractional):
Ag (0.0000, 0.0000, 0.5000) [3 per cell]  2 S 2.41
As (0.5000, 0.5000, 0.5000) [1 per cell]  12 Ag 3.41
S (0.0000, 0.0000, 0.0000) [1 per cell]  6 Ag 2.41

Theoretical density (g cm⁻³): 6.37
Raw total energy (eV per atom): -2.99
ΔE_f (raw) (eV per formula unit): 2.40
DOS(E_F) (states/eV/f.u.): 4.8

---

6.
DFT (PBE) results for a relaxed structure of Ag3As2S4.

a b c (Å): 11.7868 11.2600 6.2866
angles (deg): 90.00 104.90 90.00
Closest atoms and distances in Å follow each position.
Space group C2/c (No. 15)
Symmetry-distinct sites (fractional):
Ag (0.0000, 0.2304, 0.2500) [4 per cell]  4 S 2.56-2.60
Ag (0.1508, 0.1309, 0.6799) [8 per cell]  3 S 2.55-2.70, 1 As 2.75
As (0.1749, 0.3687, 0.7824) [8 per cell]  2 S 2.22-2.30
S (0.1273, 0.1011, 0.0689) [8 per cell]  1 As 2.30, 2 Ag 2.55-2.56
S (0.1495, 0.3953, 0.4234) [8 per cell]  1 As 2.22

Theoretical density (g cm⁻³): 4.96
Raw total energy (eV per atom): -3.82
ΔE_f (raw) (eV per formula unit): -0.03
DOS(E_F) (states/eV/f.u.): 2.8

---

Question: Which of these has the highest theoretical density?
Answer: Ag3AsS